Record 1
Ca2ZnGaIr2, relaxed, DFT PBE; ΔE_f = -42.2 kJ/mol of atoms; total moment = 0.0 μB/f.u.
1.0
-5.171 2.215 1.980
-0.590 -4.675 3.688
6.257 4.699 2.104
Ca Zn Ga Ir
4 2 2 4
Cartesian
-0.103 1.737 2.185
0.598 0.502 5.586
3.533 1.709 2.732
-3.038 0.530 5.040
-0.443 -3.506 2.766
-0.148 -1.169 0.922
-3.028 -2.399 3.756
-2.733 -0.061 1.912
-3.120 2.366 2.500
-0.932 -1.035 3.393
1.427 3.274 4.378
3.615 -0.127 5.272

***

Record 2
Ac2MnSnPt6, relaxed, DFT PBE; ΔE_f = -73.1 kJ/mol of atoms; total moment = 3.9 μB/f.u.
1.0
6.833 -0.477 1.184
-0.325 6.799 -1.159
4.059 2.358 5.123
Ac Mn Sn Pt
2 1 1 6
Cartesian
7.209 2.283 3.424
3.358 6.397 1.724
0.000 0.000 0.000
3.254 3.161 0.012
3.706 2.775 2.617
5.554 4.114 0.947
5.453 7.339 4.525
5.114 1.341 0.623
5.013 4.566 4.201
6.861 5.905 2.531